# 1
Density functional theory data (GGA-PBE) for a relaxed structure of Tl2HgP2O6.

CIF file:
```
data_Tl2HgP2O6
_cell_length_a 5.9242
_cell_length_b 5.9242
_cell_length_c 17.8437
_cell_angle_alpha 90.00
_cell_angle_beta 90.00
_cell_angle_gamma 120.00
_symmetry_space_group_name_H-M 'R -3 m'
_symmetry_Int_Tables_number 166
_symmetry_space_group_name_Hall '-R 3 2"'
loop_
_atom_site_label
_atom_site_type_symbol
_atom_site_fract_x
_atom_site_fract_y
_atom_site_fract_z
Tl1 Tl 0.0000 0.0000 0.2210
Hg1 Hg 0.0000 0.0000 0.0000
P1 P 0.0000 0.0000 0.4375
O1 O 0.0416 0.5208 0.2513
```

Summary:
The theoretical density comes out at 7048 kg/m³. Its raw formation energy is -1417.6 meV per atom. The size of the total moment is 0.0 μB/f.u.

# 2
Density functional theory data (GGA-PBE) for a relaxed structure of TlHg2PO4.

CIF file:
```
data_TlHg2PO4
_cell_length_a 5.713
_cell_length_b 7.037
_cell_length_c 7.068
_cell_angle_alpha 90.00
_cell_angle_beta 90.00
_cell_angle_gamma 90.00
_symmetry_space_group_name_H-M 'I 2 2 2'
_symmetry_Int_Tables_number 23
_symmetry_space_group_name_Hall 'I 2 2'
loop_
_atom_site_label
_atom_site_type_symbol
_atom_site_fract_x
_atom_site_fract_y
_atom_site_fract_z
Tl1 Tl 0.000 0.000 0.000
Hg1 Hg 0.000 0.303 0.500
P1 P 0.000 0.500 0.000
O1 O 0.162 0.373 0.128
```

Summary:
The theoretical density comes out at 8189 kg/m³. Its raw formation energy is -1163.3 meV per atom. The size of the total moment is 0.0 μB/f.u.

# 3
Density functional theory data (GGA-PBE) for a relaxed structure of TlHgP2O.

CIF file:
```
data_TlHgP2O
_cell_length_a 5.273
_cell_length_b 5.273
_cell_length_c 4.158
_cell_angle_alpha 90.00
_cell_angle_beta 90.00
_cell_angle_gamma 90.00
_symmetry_space_group_name_H-M 'P 4/m m m'
_symmetry_Int_Tables_number 123
_symmetry_space_group_name_Hall '-P 4 2'
loop_
_atom_site_label
_atom_site_type_symbol
_atom_site_fract_x
_atom_site_fract_y
_atom_site_fract_z
Tl1 Tl 0.000 0.000 0.000
Hg1 Hg 0.500 0.500 0.500
P1 P 0.000 0.500 0.000
O1 O 0.000 0.000 0.500
```

Summary:
The theoretical density comes out at 6936 kg/m³. Its raw formation energy is 968.7 meV per atom. The size of the total moment is 1.1 μB/f.u. Its energy above the most stable polymorph in this dataset is 105 meV per atom.

# 4
Density functional theory data (GGA-PBE) for a relaxed structure of TlHgP2O.

CIF file:
```
data_TlHgP2O
_cell_length_a 5.166
_cell_length_b 5.166
_cell_length_c 4.165
_cell_angle_alpha 90.00
_cell_angle_beta 90.00
_cell_angle_gamma 90.00
_symmetry_space_group_name_H-M 'P 4/m m m'
_symmetry_Int_Tables_number 123
_symmetry_space_group_name_Hall '-P 4 2'
loop_
_atom_site_label
_atom_site_type_symbol
_atom_site_fract_x
_atom_site_fract_y
_atom_site_fract_z
Tl1 Tl 0.000 0.000 0.000
Hg1 Hg 0.500 0.500 0.500
P1 P 0.000 0.500 0.500
O1 O 0.500 0.500 0.000
```

Summary:
The theoretical density comes out at 7214 kg/m³. Its raw formation energy is 863.5 meV per atom. The size of the total moment is 0.7 μB/f.u. Its energy above the most stable polymorph in this dataset is 0 meV per atom.